[1]
SiN PBE optimized geometry; DFT total energy = -122.005 eV for the cell shown; formation energy without anion corrections = -145 kJ/mol of formula units; ΔE to the lowest computed polymorph = 0 meV/atom; DOS(E_F) = 0.00 states/eV per cell; crystal system = tetragonal
1.0
-1.485 -1.102 4.694
-4.253 -2.015 -1.818
3.800 -7.513 -0.562
Si N
8 8
Direct
0.436 0.656 0.105 Si
0.656 0.436 0.895 Si
0.564 0.344 0.605 Si
0.156 0.064 0.855 Si
0.064 0.156 0.145 Si
0.936 0.844 0.645 Si
0.344 0.564 0.395 Si
0.844 0.936 0.355 Si
0.251 0.415 0.215 N
0.415 0.251 0.785 N
0.751 0.085 0.535 N
0.749 0.585 0.715 N
0.915 0.249 0.965 N
0.249 0.915 0.035 N
0.085 0.751 0.465 N
0.585 0.749 0.285 N


[2]
Ba2CoRh PBE optimized geometry; energy relative to the elements = -0.020 eV per atom; DFT total energy = -18.382 eV for the cell shown; ΔE to the lowest computed polymorph = 0 meV/atom; DOS(E_F) = 4.27 states/eV per cell; crystal system = monoclinic
1.0
-3.537 -0.434 -2.409
-0.092 -2.888 -3.186
-4.132 -6.952 3.640
Rh Ba Co
1 2 1
Direct
0.792 0.792 0.625 Rh
0.205 0.205 0.374 Ba
0.045 0.045 0.876 Ba
0.458 0.458 0.625 Co


[3]
ScBeCl PBE optimized geometry; DFT total energy = -12.990 eV for the cell shown; formation energy without anion corrections = -105 kJ/mol of formula units; ΔE to the lowest computed polymorph = 0 meV/atom; DOS(E_F) = 0.33 states/eV per cell; crystal system = trigonal
1.0
-0.540 1.877 -2.715
0.831 -3.222 -0.333
-7.046 -1.832 0.136
Be Cl Sc
1 1 1
Direct
0.000 0.000 0.909 Be
0.667 0.333 0.429 Cl
0.333 0.667 0.662 Sc


[4]
HoCoC PBE optimized geometry; energy relative to the elements = -0.154 eV per atom; DFT total energy = -42.738 eV for the cell shown; ΔE to the lowest computed polymorph = 181 meV/atom; DOS(E_F) = 5.10 states/eV per cell; crystal system = hexagonal
1.0
0.264 2.918 -1.788
-2.779 -1.985 -0.354
-3.496 3.862 5.785
Co C Ho
2 2 2
Direct
0.333 0.667 0.079 Co
0.667 0.333 0.579 Co
0.333 0.667 0.579 C
0.667 0.333 0.079 C
0.000 0.000 0.329 Ho
0.000 0.000 0.829 Ho


[5]
Ca2DyTaAs4 PBE optimized geometry; energy relative to the elements = -1.005 eV per atom; DFT total energy = -47.099 eV for the cell shown; DOS(E_F) = 1.90 states/eV per cell; crystal system = monoclinic
1.0
3.967 0.000 0.000
0.000 6.952 0.163
0.000 -2.392 6.773
Dy Ta As Ca
1 1 4 2
Direct
0.000 0.000 0.000 Dy
0.500 0.500 0.000 Ta
0.500 0.737 0.770 As
0.000 0.276 0.778 As
0.500 0.263 0.230 As
0.000 0.724 0.222 As
0.000 0.500 0.500 Ca
0.500 0.000 0.500 Ca


[6]
Ac3AgPd9Au2 PBE optimized geometry; energy relative to the elements = -0.215 eV per atom; DFT total energy = -71.692 eV for the cell shown; DOS(E_F) = 4.74 states/eV per cell; crystal system = trigonal
1.0
8.209 0.000 0.000
-4.105 7.109 0.000
0.000 0.000 6.221
Pd Ac Au Ag
9 3 2 1
Direct
0.669 0.835 0.333 Pd
0.331 0.165 0.667 Pd
0.835 0.669 0.667 Pd
0.165 0.835 0.333 Pd
0.000 0.500 0.000 Pd
0.835 0.165 0.667 Pd
0.500 0.500 0.000 Pd
0.165 0.331 0.333 Pd
0.500 0.000 0.000 Pd
0.333 0.667 0.669 Ac
0.667 0.333 0.331 Ac
0.000 0.000 0.000 Ac
0.333 0.667 0.170 Au
0.667 0.333 0.830 Au
0.000 0.000 0.500 Ag


Among the records above, which one has the highest DOS(E_F)? HoCoC